## P
Ba2CoMo2 PBE optimized geometry; calculated volume = 26.71 Å³/atom
1.0
-1.789 1.789 10.431
1.789 -1.789 10.431
1.789 1.789 -10.431
Ba Co Mo
2 1 2
Direct
0.091 0.091 0.000
0.909 0.909 0.000
0.500 0.500 0.000
0.250 0.750 0.500
0.750 0.250 0.500

---

## Q
Ba2CoMo2 PBE optimized geometry; calculated volume = 29.95 Å³/atom
1.0
9.491 0.000 0.000
0.000 9.491 0.000
0.000 0.000 3.325
Ba Co Mo
4 2 4
Direct
0.209 0.291 0.000
0.291 0.791 0.000
0.709 0.209 0.000
0.791 0.709 0.000
0.000 0.000 0.000
0.500 0.500 0.000
0.079 0.579 0.500
0.421 0.079 0.500
0.579 0.921 0.500
0.921 0.421 0.500

---

P wins, 63.5 kJ/mol of atoms ahead of the next structure.

---

## P
BaCoMo3 PBE optimized geometry; calculated volume = 21.03 Å³/atom
1.0
4.720 0.000 0.000
0.000 4.720 0.000
0.000 0.000 4.720
Ba Co Mo
1 1 3
Direct
0.000 0.000 0.000
0.500 0.500 0.500
0.000 0.500 0.500
0.500 0.000 0.500
0.500 0.500 0.000

---

## Q
BaCoMo3 PBE optimized geometry; calculated volume = 23.34 Å³/atom
1.0
4.887 0.000 0.000
0.000 4.887 0.000
0.000 0.000 4.887
Ba Co Mo
1 1 3
Direct
0.000 0.000 0.000
0.500 0.500 0.500
0.000 0.000 0.500
0.000 0.500 0.000
0.500 0.000 0.000

---

P wins, 207.4 kJ/mol of atoms ahead of the next structure.

---

## P
BaCoMo2S PBE optimized geometry; calculated volume = 19.06 Å³/atom
1.0
4.703 0.000 0.000
0.000 4.703 0.000
0.000 0.000 4.308
Ba Co Mo S
1 1 2 1
Direct
0.000 0.000 0.000
0.500 0.500 0.000
0.000 0.500 0.500
0.500 0.000 0.500
0.500 0.500 0.500

---

## Q
BaCoMo2S PBE optimized geometry; calculated volume = 23.55 Å³/atom
1.0
5.073 0.000 0.000
0.000 5.073 0.000
0.000 0.000 4.574
Ba Co Mo S
1 1 2 1
Direct
0.000 0.000 0.000
0.000 0.000 0.500
0.000 0.500 0.000
0.500 0.000 0.000
0.500 0.500 0.500

---

P wins, 229.5 kJ/mol of atoms ahead of the next structure.

---

## P
BaCoN2 PBE optimized geometry; calculated volume = 23.53 Å³/atom
1.0
2.167 1.251 5.788
-2.167 1.251 5.788
0.000 -2.502 5.788
Ba Co N
1 1 2
Direct
0.000 0.000 0.000
0.500 0.500 0.500
0.405 0.405 0.405
0.595 0.595 0.595

---

## Q
BaCoN2 PBE optimized geometry; calculated volume = 15.90 Å³/atom
1.0
2.892 -5.719 0.000
2.892 5.719 0.000
0.000 0.000 7.690
Ba Co N
4 4 8
Direct
0.158 0.842 0.940
0.342 0.658 0.440
0.658 0.342 0.560
0.842 0.158 0.060
0.053 0.947 0.366
0.447 0.553 0.866
0.553 0.447 0.134
0.947 0.053 0.634
0.111 0.889 0.587
0.155 0.345 0.750
0.345 0.155 0.250
0.389 0.611 0.087
0.611 0.389 0.913
0.655 0.845 0.750
0.845 0.655 0.250
0.889 0.111 0.413

---

Q wins, 60.1 kJ/mol of atoms ahead of the next structure.

---

## P
BaCoN2 PBE optimized geometry; calculated volume = 14.87 Å³/atom
1.0
0.000 3.098 3.098
3.098 0.000 3.098
3.098 3.098 0.000
Ba Co N
1 1 2
Direct
0.000 0.000 0.000
0.500 0.500 0.500
0.250 0.250 0.250
0.750 0.750 0.750

---

## Q
BaCoN2 PBE optimized geometry; calculated volume = 14.74 Å³/atom
1.0
1.634 0.943 6.375
-1.634 0.943 6.375
0.000 -1.886 6.375
Ba Co N
1 1 2
Direct
0.000 0.000 0.000
0.500 0.500 0.500
0.131 0.131 0.131
0.869 0.869 0.869

---

## R
BaCoN2 PBE optimized geometry; calculated volume = 14.93 Å³/atom
1.0
-2.936 2.936 3.465
2.936 -2.936 3.465
2.936 2.936 -3.465
Ba Co N
2 2 4
Direct
0.000 0.000 0.000
0.750 0.250 0.500
0.250 0.750 0.500
0.500 0.500 0.000
0.264 0.625 0.139
0.375 0.514 0.639
0.486 0.125 0.861
0.875 0.736 0.361

---

R wins, 95.2 kJ/mol of atoms ahead of the next structure.

---

## P
BaCoS2N PBE optimized geometry; calculated volume = 18.32 Å³/atom
1.0
5.074 0.000 0.000
0.000 5.074 0.000
0.000 0.000 3.558
Ba Co S N
1 1 2 1
Direct
0.000 0.000 0.000
0.500 0.500 0.500
0.000 0.500 0.500
0.500 0.000 0.500
0.500 0.500 0.000

---

## Q
BaCoS2N PBE optimized geometry; calculated volume = 34.62 Å³/atom
1.0
5.827 0.000 0.000
0.000 5.827 0.000
0.000 0.000 5.098
Ba Co S N
1 1 2 1
Direct
0.000 0.000 0.000
0.500 0.500 0.500
0.000 0.500 0.000
0.500 0.000 0.000
0.000 0.000 0.500

---

P wins, 185.1 kJ/mol of atoms ahead of the next structure.

---

## P
BaCoSeN2 PBE optimized geometry; calculated volume = 17.33 Å³/atom
1.0
4.194 0.000 0.000
0.000 4.194 0.000
0.000 0.000 4.925
Ba Co Se N
1 1 1 2
Direct
0.000 0.000 0.000
0.500 0.500 0.500
0.500 0.500 0.000
0.000 0.500 0.500
0.500 0.000 0.500

---

## Q
BaCoSeN2 PBE optimized geometry; calculated volume = 27.32 Å³/atom
1.0
4.526 0.000 0.000
0.000 4.526 0.000
0.000 0.000 6.669
Ba Co Se N
1 1 1 2
Direct
0.000 0.000 0.000
0.500 0.500 0.500
0.000 0.000 0.500
0.000 0.500 0.000
0.500 0.000 0.000

---

P wins, 150.8 kJ/mol of atoms ahead of the next structure.

---

## P
BaSrCoN2 PBE optimized geometry; calculated volume = 23.05 Å³/atom
1.0
5.892 0.000 0.000
0.000 5.287 0.000
-0.073 0.000 7.401
Ba Sr Co N
2 2 2 4
Direct
0.000 0.007 0.250
0.000 0.993 0.750
0.500 0.498 0.750
0.500 0.502 0.250
0.500 0.000 0.000
0.500 0.000 0.500
0.289 0.229 0.999
0.289 0.771 0.499
0.711 0.229 0.501
0.711 0.771 0.001

---

## Q
BaSrCoN2 PBE optimized geometry; calculated volume = 23.38 Å³/atom
1.0
4.752 0.000 0.000
0.000 4.752 0.000
0.000 0.000 5.178
Ba Sr Co N
1 1 1 2
Direct
0.000 0.000 0.000
0.500 0.500 0.500
0.000 0.000 0.500
0.000 0.500 0.000
0.500 0.000 0.000

---

P wins, 169.7 kJ/mol of atoms ahead of the next structure.

---

## P
BaCoTe2N PBE optimized geometry; calculated volume = 24.07 Å³/atom
1.0
5.831 0.000 0.000
0.000 5.831 0.000
0.000 0.000 3.540
Ba Co Te N
1 1 2 1
Direct
0.000 0.000 0.000
0.500 0.500 0.500
0.000 0.500 0.500
0.500 0.000 0.500
0.500 0.500 0.000

---

## Q
BaCoTe2N PBE optimized geometry; calculated volume = 37.43 Å³/atom
1.0
6.567 0.000 0.000
0.000 6.567 0.000
0.000 0.000 4.340
Ba Co Te N
1 1 2 1
Direct
0.000 0.000 0.000
0.500 0.500 0.500
0.000 0.500 0.000
0.500 0.000 0.000
0.000 0.000 0.500

---

P wins, 169.8 kJ/mol of atoms ahead of the next structure.

---

## P
BaNaCo2 PBE optimized geometry; calculated volume = 23.54 Å³/atom
1.0
-4.103 4.103 2.797
4.103 -4.103 2.797
4.103 4.103 -2.797
Ba Na Co
2 2 4
Direct
0.000 0.000 0.000
0.750 0.250 0.500
0.250 0.750 0.500
0.500 0.500 0.000
0.143 0.125 0.518
0.375 0.857 0.982
0.607 0.625 0.482
0.875 0.393 0.018

---

## Q
BaNaCo2 PBE optimized geometry; calculated volume = 24.38 Å³/atom
1.0
0.000 3.653 3.653
3.653 0.000 3.653
3.653 3.653 0.000
Ba Na Co
1 1 2
Direct
0.000 0.000 0.000
0.500 0.500 0.500
0.250 0.250 0.250
0.750 0.750 0.750

---

Q wins, 1.7 kJ/mol of atoms ahead of the next structure.

---

## P
Ba2NaCo PBE optimized geometry; calculated volume = 39.57 Å³/atom
1.0
-4.589 4.589 3.758
4.589 -4.589 3.758
4.589 4.589 -3.758
Ba Na Co
4 2 2
Direct
0.031 0.625 0.906
0.375 0.281 0.406
0.719 0.125 0.094
0.875 0.969 0.594
0.250 0.750 0.500
0.500 0.500 0.000
0.000 0.000 0.000
0.750 0.250 0.500

---

## Q
Ba2NaCo PBE optimized geometry; calculated volume = 33.32 Å³/atom
1.0
0.000 4.054 4.054
4.054 0.000 4.054
4.054 4.054 0.000
Ba Na Co
2 1 1
Direct
0.250 0.250 0.250
0.750 0.750 0.750
0.000 0.000 0.000
0.500 0.500 0.500

---

Q wins, 1.7 kJ/mol of atoms ahead of the next structure.

---

## P
BaNaCo3 PBE optimized geometry; calculated volume = 24.68 Å³/atom
1.0
4.978 0.000 0.000
0.000 4.978 0.000
0.000 0.000 4.978
Ba Na Co
1 1 3
Direct
0.000 0.000 0.000
0.500 0.500 0.500
0.000 0.000 0.500
0.000 0.500 0.000
0.500 0.000 0.000

---

## Q
BaNaCo3 PBE optimized geometry; calculated volume = 23.70 Å³/atom
1.0
4.912 0.000 0.000
0.000 4.912 0.000
0.000 0.000 4.912
Ba Na Co
1 1 3
Direct
0.000 0.000 0.000
0.500 0.500 0.500
0.000 0.500 0.500
0.500 0.000 0.500
0.500 0.500 0.000

---

Q wins, 46.7 kJ/mol of atoms ahead of the next structure.